! LaY, single point on PBEsol structure, DFT meta-GGA SCAN; values from VASP
&SYSTEM
  ibrav = 0, nat = 4, ntyp = 2
/
ATOMIC_SPECIES
La 138.91 La.upf
Y 88.91 Y.upf
ATOMIC_POSITIONS crystal
La 0.250 0.250 0.124
La 0.750 0.750 0.876
Y 0.250 0.250 0.619
Y 0.750 0.750 0.381
CELL_PARAMETERS angstrom
3.586 0.000 0.000
0.000 3.586 0.000
0.000 0.000 10.081
! energy relative to the elements = 0.04 eV/atom
! relative energy among the computed polymorphs = 26 meV per atom

=====

! RbCaZnIr2, single point on PBEsol structure, DFT meta-GGA SCAN; values from VASP
&SYSTEM
  ibrav = 0, nat = 5, ntyp = 4
/
ATOMIC_SPECIES
Rb 85.47 Rb.upf
Ca 40.08 Ca.upf
Zn 65.41 Zn.upf
Ir 192.22 Ir.upf
ATOMIC_POSITIONS crystal
Rb 0.000 0.000 0.000
Ca 0.000 0.000 0.500
Zn 0.500 0.500 0.500
Ir 0.000 0.500 0.000
Ir 0.500 0.000 0.000
CELL_PARAMETERS angstrom
4.888 0.000 0.000
0.000 4.888 0.000
0.000 0.000 5.047
! energy relative to the elements = 2.32 eV/atom

=====

! AsAu5, single point on PBEsol structure, DFT meta-GGA SCAN; values from VASP
&SYSTEM
  ibrav = 0, nat = 6, ntyp = 2
/
ATOMIC_SPECIES
As 74.92 As.upf
Au 196.97 Au.upf
ATOMIC_POSITIONS crystal
As 0.000 0.000 0.000
Au 0.000 0.000 0.336
Au 0.000 0.000 0.664
Au 0.500 0.500 0.169
Au 0.500 0.500 0.500
Au 0.500 0.500 0.831
CELL_PARAMETERS angstrom
2.870 0.000 0.000
0.000 2.870 0.000
0.000 0.000 12.550
! energy relative to the elements = 0.09 eV/atom

=====

! InPSe2, single point on PBEsol structure, DFT meta-GGA SCAN; values from VASP
&SYSTEM
  ibrav = 0, nat = 8, ntyp = 3
/
ATOMIC_SPECIES
In 114.82 In.upf
P 30.97 P.upf
Se 78.96 Se.upf
ATOMIC_POSITIONS crystal
In 0.000 0.000 0.000
In 0.500 0.500 0.500
P 0.000 0.500 0.250
P 0.500 0.000 0.750
Se 0.000 0.000 0.500
Se 0.000 0.500 0.750
Se 0.500 0.000 0.250
Se 0.500 0.500 0.000
CELL_PARAMETERS angstrom
3.703 0.000 0.000
0.000 3.703 0.000
0.000 0.000 13.599
! relative energy among the computed polymorphs = 193 meV per atom
! formation energy (no corrections) = 21 kJ/mol of atoms

=====

! BaAg3Ge, single point on PBEsol structure, DFT meta-GGA SCAN; values from VASP
&SYSTEM
  ibrav = 0, nat = 5, ntyp = 3
/
ATOMIC_SPECIES
Ba 137.33 Ba.upf
Ag 107.87 Ag.upf
Ge 72.64 Ge.upf
ATOMIC_POSITIONS crystal
Ba 0.000 0.000 0.000
Ag 0.000 0.000 0.500
Ag 0.000 0.500 0.000
Ag 0.500 0.000 0.000
Ge 0.500 0.500 0.500
CELL_PARAMETERS angstrom
5.662 0.000 0.000
0.000 5.662 0.000
0.000 0.000 5.662
! energy relative to the elements = 1.42 eV/atom
! relative energy among the computed polymorphs = 1545 meV per atom

=====

! Zr2HgAu, single point on PBEsol structure, DFT meta-GGA SCAN; values from VASP
&SYSTEM
  ibrav = 0, nat = 8, ntyp = 3
/
ATOMIC_SPECIES
Zr 91.22 Zr.upf
Hg 200.59 Hg.upf
Au 196.97 Au.upf
ATOMIC_POSITIONS crystal
Zr 0.000 0.500 0.250
Zr 0.000 0.500 0.750
Zr 0.500 0.000 0.250
Zr 0.500 0.000 0.750
Hg 0.000 0.000 0.000
Hg 0.500 0.500 0.500
Au 0.000 0.000 0.500
Au 0.500 0.500 0.000
CELL_PARAMETERS angstrom
4.333 0.000 0.000
0.000 4.333 0.000
0.000 0.000 8.353
! energy relative to the elements = -0.52 eV/atom

=====

Number 1: total energy -35.4332 eV/atom. Number 2: total energy -34.8984 eV/atom. Number 3: total energy -60.9076 eV/atom. Number 4: total energy -20.7717 eV/atom. Number 5: total energy -29.1265 eV/atom. Number 6: total energy -50.1970 eV/atom.